Ir2RuPt | PBEsol | optimized geometry

Geometry as CIF:
```
data_Ir2RuPt
_chemical_formula_sum 'Ir6 Ru3 Pt3'
_cell_length_a 2.7080
_cell_length_b 2.7080
_cell_length_c 26.6337
_cell_angle_alpha 90.00
_cell_angle_beta 90.00
_cell_angle_gamma 120.00
_space_group_name_H-M_alt 'R 3 m'
_space_group_IT_number 160
_space_group_name_Hall 'R 3 -2"'
loop_
_atom_site_label
_atom_site_type_symbol
_atom_site_fract_x
_atom_site_fract_y
_atom_site_fract_z
_atom_site_occupancy
Ir1 Ir 0.0000 0.0000 0.0000 1
Ir2 Ir 0.0000 0.0000 0.2501 1
Ru1 Ru 0.0000 0.0000 0.5036 1
Pt1 Pt 0.0000 0.0000 0.7529 1
```

ΔE_f ... 0.022 eV/atom
Density of states at the Fermi level ... 12.471 states/eV/cell

AlRe2OsCl | PBEsol | optimized geometry

Geometry as CIF:
```
data_AlRe2OsCl
_chemical_formula_sum 'Al1 Re2 Os1 Cl1'
_cell_length_a 4.302
_cell_length_b 4.302
_cell_length_c 4.311
_cell_angle_alpha 90.00
_cell_angle_beta 90.00
_cell_angle_gamma 90.00
_space_group_name_H-M_alt 'P 4/m m m'
_space_group_IT_number 123
_space_group_name_Hall '-P 4 2'
loop_
_atom_site_label
_atom_site_type_symbol
_atom_site_fract_x
_atom_site_fract_y
_atom_site_fract_z
_atom_site_occupancy
Al1 Al 0.000 0.000 0.000 1
Re1 Re 0.000 0.500 0.500 1
Os1 Os 0.500 0.500 0.000 1
Cl1 Cl 0.500 0.500 0.500 1
```

Density of states at the Fermi level ... 4.201 states/eV/cell
VASP energy ... -36.69 eV for the cell shown

CaCo2Br | PBEsol | optimized geometry

Geometry as CIF:
```
data_CaCo2Br
_chemical_formula_sum 'Ca4 Co8 Br4'
_cell_length_a 6.303
_cell_length_b 6.303
_cell_length_c 6.303
_cell_angle_alpha 90.00
_cell_angle_beta 90.00
_cell_angle_gamma 90.00
_space_group_name_H-M_alt 'F m -3 m'
_space_group_IT_number 225
_space_group_name_Hall '-F 4 2 3'
loop_
_atom_site_label
_atom_site_type_symbol
_atom_site_fract_x
_atom_site_fract_y
_atom_site_fract_z
_atom_site_occupancy
Ca1 Ca 0.000 0.000 0.000 1
Co1 Co 0.250 0.250 0.250 1
Br1 Br 0.000 0.000 0.500 1
```

Density of states at the Fermi level ... 6.504 states/eV/cell
VASP energy ... -66.95 eV for the cell shown

LaCuTe2N | PBEsol | optimized geometry

Geometry as CIF:
```
data_LaCuTe2N
_chemical_formula_sum 'La1 Cu1 Te2 N1'
_cell_length_a 6.275
_cell_length_b 6.275
_cell_length_c 3.974
_cell_angle_alpha 90.00
_cell_angle_beta 90.00
_cell_angle_gamma 90.00
_space_group_name_H-M_alt 'P 4/m m m'
_space_group_IT_number 123
_space_group_name_Hall '-P 4 2'
loop_
_atom_site_label
_atom_site_type_symbol
_atom_site_fract_x
_atom_site_fract_y
_atom_site_fract_z
_atom_site_occupancy
La1 La 0.000 0.000 0.000 1
Cu1 Cu 0.500 0.500 0.500 1
Te1 Te 0.000 0.500 0.000 1
N1 N 0.000 0.000 0.500 1
```

Density of states at the Fermi level ... 4.170 states/eV/cell
VASP energy ... -22.05 eV for the cell shown